Entry 1:
! MgZr6Cd (PBE, relaxed); values from VASP
! ΔH_f (0 K) in eV/atom: -0.026
&SYSTEM
  ibrav = 0, nat = 8, ntyp = 3
/
ATOMIC_SPECIES
Zr 91.22 Zr.upf
Cd 112.41 Cd.upf
Mg 24.30 Mg.upf
CELL_PARAMETERS angstrom
4.468 0.000 0.000
0.000 4.468 0.000
0.000 0.000 8.957
ATOMIC_POSITIONS crystal
Zr 0.000 0.500 0.750
Zr 0.000 0.500 0.250
Zr 0.500 0.500 0.000
Zr 0.500 0.500 0.500
Zr 0.500 0.000 0.750
Zr 0.500 0.000 0.250
Cd 0.000 0.000 0.000
Mg 0.000 0.000 0.500

Entry 2:
! NaPmSbPt (PBE, relaxed); values from VASP
! Raw formation energy in eV/atom: -0.614
&SYSTEM
  ibrav = 0, nat = 4, ntyp = 4
/
ATOMIC_SPECIES
Pm 145.00 Pm.upf
Sb 121.76 Sb.upf
Pt 195.08 Pt.upf
Na 22.99 Na.upf
CELL_PARAMETERS angstrom
5.134 0.000 0.000
2.567 4.446 0.000
2.567 1.482 4.191
ATOMIC_POSITIONS crystal
Pm 0.000 0.000 0.000
Sb 0.250 0.250 0.250
Pt 0.750 0.750 0.750
Na 0.500 0.500 0.500

What is the formula in the first record?
MgZr6Cd